# 1
DFT (PBE-GGA) results for Bi2IrCl after structural relaxation.

abc: 3.906 3.906 8.197
angles: 76.22 76.22 60.00
Sites, in units of the cell vectors:
1 Bi 0.265 0.265 0.206
2 Ir 0.000 0.000 0.000
3 Bi 0.735 0.735 0.794
4 Cl 0.500 0.500 0.500

Summary:
* distance to the lowest polymorph of the same formula: 0.0 meV/atom
* DFT total energy: -4.83 eV/atom


# 2
DFT (PBE-GGA) results for BiIr2Cl after structural relaxation.

abc: 4.943 4.943 7.992
angles: 71.98 71.98 90.00
Sites, in units of the cell vectors:
1 Bi 0.000 0.000 0.000
2 Cl 0.500 0.500 0.000
3 Ir 0.375 0.505 0.750
4 Bi 0.750 0.250 0.500
5 Cl 0.250 0.750 0.500
6 Ir 0.875 0.745 0.750
7 Ir 0.255 0.625 0.250
8 Ir 0.495 0.125 0.250

Summary:
* distance to the lowest polymorph of the same formula: 0.0 meV/atom
* DFT total energy: -5.20 eV/atom


# 3
DFT (PBE-GGA) results for Bi4IrCl2 after structural relaxation.

abc: 3.771 8.070 7.021
angles: 95.51 105.58 90.00
Sites, in units of the cell vectors:
1 Bi 0.642 0.974 0.284
2 Ir 0.000 0.000 0.000
3 Cl 0.715 0.669 0.430
4 Bi 0.933 0.663 0.865
5 Bi 0.067 0.337 0.135
6 Bi 0.358 0.026 0.716
7 Cl 0.285 0.331 0.570

Summary:
* DFT total energy: -4.18 eV/atom


Number 1: ΔE_f (raw) -0.211 eV/atom, D(E_F) 1.9 states/eV per cell. Number 2: ΔE_f (raw) 0.665 eV/atom, D(E_F) 1.7 states/eV per cell. Number 3: ΔE_f (raw) -0.170 eV/atom, D(E_F) 2.4 states/eV per cell.